VASP calculation (PBE) on a relaxed structure of LaTb4Sn4.

The calculated formation energy comes out at -4.15 eV per formula unit. The symmetry is P4_2/n (86). Its total magnetic moment is 0.00 μB per cell. The calculation puts the energy at -4.845 eV per atom.

POSCAR file:
```
LaTb4Sn4
1.0
-6.006 -0.571 -1.224
0.896 -9.965 0.249
-2.004 0.064 9.806
Sn La Tb
8 2 8
direct
0.597 0.793 0.356
0.403 0.644 0.793
0.097 0.856 0.707
0.403 0.356 0.207
0.903 0.293 0.856
0.097 0.144 0.293
0.903 0.707 0.144
0.597 0.207 0.644
0.000 0.000 0.000
0.500 0.500 0.500
0.108 0.149 0.606
0.892 0.606 0.851
0.108 0.851 0.394
0.892 0.394 0.149
0.608 0.894 0.649
0.392 0.351 0.894
0.392 0.649 0.106
0.608 0.106 0.351
```